No. 1
Below is SrHf3Au after structural relaxation, with properties calculated at the PBE level.

a = 5.080 Å, b = 5.080 Å, c = 5.080 Å
α = 90.00°, β = 90.00°, γ = 90.00°
Element x y z (fractional)
Au1 0.500 0.500 0.500
Hf1 0.000 0.500 0.000
Hf2 0.500 0.000 0.000
Hf3 0.000 0.000 0.500
Sr1 0.000 0.000 0.000

Computed properties:
Excess energy over the best structure of this formula in the dataset = 1478.4 meV/atom
VASP energy = -24.44 eV per cell
Symmetry = No. 221

No. 2
Below is SrHf2Au2 after structural relaxation, with properties calculated at the PBE level.

a = 4.672 Å, b = 4.672 Å, c = 6.690 Å
α = 69.56°, β = 69.56°, γ = 90.00°
Element x y z (fractional)
Au1 0.620 0.620 0.760
Au2 0.380 0.380 0.240
Hf1 0.750 0.250 0.500
Hf2 0.250 0.750 0.500
Sr1 0.000 0.000 0.000

Computed properties:
Excess energy over the best structure of this formula in the dataset = 0.0 meV/atom
VASP energy = -29.45 eV per cell
Symmetry = No. 139

No. 3
Below is SrHf2Au2 after structural relaxation, with properties calculated at the PBE level.

a = 8.561 Å, b = 8.561 Å, c = 3.075 Å
α = 90.00°, β = 90.00°, γ = 90.00°
Element x y z (fractional)
Hf1 0.376 0.876 0.000
Hf2 0.876 0.624 0.000
Hf3 0.624 0.124 0.000
Hf4 0.124 0.376 0.000
Sr1 0.500 0.500 0.000
Sr2 0.000 0.000 0.000
Au1 0.672 0.828 0.500
Au2 0.328 0.172 0.500
Au3 0.172 0.672 0.500
Au4 0.828 0.328 0.500

Computed properties:
Excess energy over the best structure of this formula in the dataset = 40.0 meV/atom
VASP energy = -58.50 eV per cell
Symmetry = No. 127

No. 4
Below is Sr2HfAu after structural relaxation, with properties calculated at the PBE level.

a = 5.564 Å, b = 5.564 Å, c = 5.564 Å
α = 60.00°, β = 60.00°, γ = 60.00°
Element x y z (fractional)
Hf1 0.000 0.000 0.000
Au1 0.500 0.500 0.500
Sr1 0.750 0.750 0.750
Sr2 0.250 0.250 0.250

Computed properties:
Excess energy over the best structure of this formula in the dataset = 118.3 meV/atom
VASP energy = -14.90 eV per cell
Symmetry = No. 225

No. 5
Below is Sr3HfAu after structural relaxation, with properties calculated at the PBE level.

a = 5.945 Å, b = 5.945 Å, c = 5.945 Å
α = 90.00°, β = 90.00°, γ = 90.00°
Each line ends with the local moment (μB).
Element x y z (fractional)
Hf1 0.500 0.500 0.500  1.06
Sr1 0.000 0.500 0.000  0.02
Sr2 0.500 0.000 0.000  0.03
Sr3 0.000 0.000 0.500  0.03
Au1 0.000 0.000 0.000  0.01

Computed properties:
Excess energy over the best structure of this formula in the dataset = 0.0 meV/atom
VASP energy = -16.35 eV per cell
Symmetry = No. 221

No. 6
Below is Sr2HfAu after structural relaxation, with properties calculated at the PBE level.

a = 11.143 Å, b = 11.143 Å, c = 8.312 Å
α = 47.91°, β = 47.91°, γ = 90.00°
Each line ends with the local moment (μB).
Element x y z (fractional)
Sr1 0.375 0.234 0.750  0.02
Sr2 0.984 0.625 0.250  0.02
Sr3 0.875 0.016 0.750  0.02
Sr4 0.766 0.125 0.250  0.02
Au1 0.750 0.250 0.500  0.02
Au2 0.000 0.000 0.000  0.02
Hf1 0.250 0.750 0.500  0.41
Hf2 0.500 0.500 0.000  0.41

Computed properties:
Excess energy over the best structure of this formula in the dataset = 0.0 meV/atom
VASP energy = -30.74 eV per cell
Symmetry = No. 122

No. 7
Below is SrHf2WAu after structural relaxation, with properties calculated at the PBE level.

a = 5.145 Å, b = 5.520 Å, c = 5.145 Å
α = 90.00°, β = 90.00°, γ = 90.00°
Each line ends with the local moment (μB).
Element x y z (fractional)
W1 0.500 0.500 0.500  2.29
Sr1 0.000 0.500 0.000  0.01
Au1 0.000 0.000 0.000  -0.02
Hf1 0.000 0.000 0.500  -0.15
Hf2 0.500 0.000 0.000  -0.29

Computed properties:
VASP energy = -30.80 eV per cell
Symmetry = No. 123

No. 8
Below is Hf2TaAu after structural relaxation, with properties calculated at the PBE level.

a = 3.155 Å, b = 3.155 Å, c = 9.606 Å
α = 80.55°, β = 80.55°, γ = 60.00°
Element x y z (fractional)
Hf1 0.082 0.082 0.754
Hf2 0.251 0.251 0.247
Ta1 0.500 0.500 0.501
Au1 0.668 0.668 0.997

Computed properties:
Excess energy over the best structure of this formula in the dataset = 197.0 meV/atom
VASP energy = -35.25 eV per cell
Symmetry = No. 160

No. 9
Below is HfTaAu3 after structural relaxation, with properties calculated at the PBE level.

a = 4.992 Å, b = 4.992 Å, c = 4.992 Å
α = 90.00°, β = 90.00°, γ = 90.00°
Element x y z (fractional)
Ta1 0.000 0.000 0.000
Au1 0.000 0.000 0.500
Au2 0.500 0.000 0.000
Au3 0.000 0.500 0.000
Hf1 0.500 0.500 0.500

Computed properties:
Excess energy over the best structure of this formula in the dataset = 0.0 meV/atom
VASP energy = -26.47 eV per cell
Symmetry = No. 221

No. 10
Below is Hf2TaAu after structural relaxation, with properties calculated at the PBE level.

a = 3.494 Å, b = 4.727 Å, c = 4.727 Å
α = 90.00°, β = 90.00°, γ = 90.00°
Element x y z (fractional)
Ta1 0.500 0.500 0.500
Hf1 0.000 0.000 0.500
Hf2 0.000 0.500 0.000
Au1 0.500 0.000 0.000

Computed properties:
Excess energy over the best structure of this formula in the dataset = 97.7 meV/atom
VASP energy = -35.65 eV per cell
Symmetry = No. 123

No. 11
Below is Hf2TaAu after structural relaxation, with properties calculated at the PBE level.

a = 4.787 Å, b = 4.787 Å, c = 4.787 Å
α = 60.00°, β = 60.00°, γ = 60.00°
Element x y z (fractional)
Au1 0.500 0.500 0.500
Hf1 0.250 0.250 0.250
Hf2 0.750 0.750 0.750
Ta1 0.000 0.000 0.000

Computed properties:
Excess energy over the best structure of this formula in the dataset = 140.5 meV/atom
VASP energy = -35.48 eV per cell
Symmetry = No. 225

No. 12
Below is Hf2TaAu after structural relaxation, with properties calculated at the PBE level.

a = 3.375 Å, b = 3.375 Å, c = 6.947 Å
α = 90.00°, β = 90.00°, γ = 90.00°
Element x y z (fractional)
Hf1 0.000 0.000 0.255
Hf2 0.000 0.000 0.745
Au1 0.500 0.500 0.000
Ta1 0.500 0.500 0.500

Computed properties:
Excess energy over the best structure of this formula in the dataset = 0.0 meV/atom
VASP energy = -36.04 eV per cell
Symmetry = No. 123

Among the records above, which one has the lowest VASP energy? number 3

Among the records above, which one has the highest VASP energy? number 4